# 1
VASP calculation (meta-GGA SCAN) on SiAg2Br at its PBEsol-relaxed geometry.

Computed properties:
The value obtained for the total magnetization is 0.00 μB per cell. The polymorph energy (0 for the lowest one) is 214.3 meV/atom. For the uncorrected formation energy, the calculation gives 0.446 eV per atom. As for the space group: No. 65.

Cell and atoms, written as POSCAR:
```
SiAg2Br
1.0
2.847 -4.019 0.000
2.847 4.019 0.000
0.000 0.000 3.277
Si Ag Br
1 2 1
direct
0.000 0.000 0.000 Si
0.000 0.500 0.500 Ag
0.500 0.000 0.500 Ag
0.500 0.500 0.000 Br
```

***

# 2
VASP calculation (meta-GGA SCAN) on SiAg2Br at its PBEsol-relaxed geometry.

Computed properties:
The value obtained for the total magnetization is 0.00 μB per cell. The polymorph energy (0 for the lowest one) is 15.4 meV/atom. For the uncorrected formation energy, the calculation gives 0.247 eV per atom. As for the space group: No. 44.

Cell and atoms, written as POSCAR:
```
SiAg2Br
1.0
-1.634 2.002 6.208
1.634 -2.002 6.208
1.634 2.002 -6.208
Si Ag Br
1 2 1
direct
0.000 0.000 0.000 Si
0.170 0.670 0.500 Ag
0.504 0.504 0.000 Ag
0.782 0.282 0.500 Br
```

***

# 3
VASP calculation (meta-GGA SCAN) on Si2AgBr at its PBEsol-relaxed geometry.

Computed properties:
The value obtained for the total magnetization is 0.00 μB per cell. The polymorph energy (0 for the lowest one) is 424.8 meV/atom. For the uncorrected formation energy, the calculation gives 0.825 eV per atom. As for the space group: No. 123.

Cell and atoms, written as POSCAR:
```
Si2AgBr
1.0
4.997 0.000 0.000
0.000 4.997 0.000
0.000 0.000 2.923
Si Ag Br
2 1 1
direct
0.000 0.500 0.000 Si
0.500 0.000 0.000 Si
0.000 0.000 0.500 Ag
0.500 0.500 0.500 Br
```

***

# 4
VASP calculation (meta-GGA SCAN) on Si2AgBr at its PBEsol-relaxed geometry.

Computed properties:
The value obtained for the total magnetization is 0.00 μB per cell. The polymorph energy (0 for the lowest one) is 329.7 meV/atom. For the uncorrected formation energy, the calculation gives 0.730 eV per atom. As for the space group: No. 65.

Cell and atoms, written as POSCAR:
```
Si2AgBr
1.0
1.611 -2.690 0.000
1.611 2.690 0.000
0.000 0.000 8.549
Si Ag Br
2 1 1
direct
0.000 0.000 0.243 Si
0.000 0.000 0.757 Si
0.500 0.500 0.000 Ag
0.500 0.500 0.500 Br
```

***

# 5
VASP calculation (meta-GGA SCAN) on Ag2Sn2Br at its PBEsol-relaxed geometry.

Computed properties:
The value obtained for the total magnetization is 0.00 μB per cell. For the uncorrected formation energy, the calculation gives 0.154 eV per atom. As for the space group: No. 139.

Cell and atoms, written as POSCAR:
```
Ag2Sn2Br
1.0
-2.123 2.123 6.714
2.123 -2.123 6.714
2.123 2.123 -6.714
Ag Sn Br
2 2 1
direct
0.102 0.102 0.000 Ag
0.898 0.898 0.000 Ag
0.250 0.750 0.500 Sn
0.750 0.250 0.500 Sn
0.500 0.500 0.000 Br
```

***

# 6
VASP calculation (meta-GGA SCAN) on Sr2AgBr at its PBEsol-relaxed geometry.

Computed properties:
The value obtained for the total magnetization is 0.00 μB per cell. The polymorph energy (0 for the lowest one) is 264.1 meV/atom. For the uncorrected formation energy, the calculation gives -0.720 eV per atom. As for the space group: No. 119.

Cell and atoms, written as POSCAR:
```
Sr2AgBr
1.0
-2.232 2.232 6.528
2.232 -2.232 6.528
2.232 2.232 -6.528
Sr Ag Br
2 1 1
direct
0.000 0.000 0.000 Sr
0.750 0.250 0.500 Sr
0.500 0.500 0.000 Ag
0.250 0.750 0.500 Br
```